[1]
A geometry-optimized TbPr2Dy2Er2 structure. Source: Alexandria, functional GGA-PBE.

Summary:
Formation energy in eV per atom: 0.085
Space group: C2/m

Lattice parameters (Å, degrees): 3.5240 6.1316 11.8719 71.55 90.00 106.70
Positions (direct):
Tb  0.0000  0.0000  0.5000
Pr  0.6704  0.3407  0.9152
Pr  0.3296  0.6593  0.0848
Dy  0.4499  0.8998  0.7678
Dy  0.5501  0.1002  0.2322
Er  0.7738  0.5477  0.3653
Er  0.2262  0.4523  0.6347


[2]
A geometry-optimized AcSn4Au4 structure. Source: Alexandria, functional GGA-PBE.

Summary:
Formation energy in eV per atom: -0.370
Space group: I4/m

Lattice parameters (Å, degrees): 4.8956 9.8972 9.8972 90.00 90.00 90.00
Positions (direct):
Ac  0.0000  0.0000  0.0000
Ac  0.5000  0.5000  0.5000
Sn  0.5000  0.3590  0.8436
Sn  0.0000  0.6564  0.8590
Sn  0.5000  0.6410  0.1564
Sn  0.0000  0.1410  0.6564
Sn  0.5000  0.8436  0.6410
Sn  0.0000  0.8590  0.3436
Sn  0.0000  0.3436  0.1410
Sn  0.5000  0.1564  0.3590
Au  0.5000  0.9216  0.2083
Au  0.5000  0.0784  0.7917
Au  0.0000  0.7083  0.5784
Au  0.0000  0.4216  0.7083
Au  0.0000  0.5784  0.2917
Au  0.5000  0.2083  0.0784
Au  0.5000  0.7917  0.9216
Au  0.0000  0.2917  0.4216


[3]
A geometry-optimized PtNCl2 structure. Source: Alexandria, functional GGA-PBE.

Summary:
Uncorrected formation energy in eV/f.u.: 5.6
Space group: R-3m

Lattice parameters (Å, degrees): 7.9923 7.9923 7.9923 23.77 23.77 23.77
Each line ends with the local moment (μB).
Positions (direct):
N  0.5000  0.5000  0.5000  1.29
Pt  0.0000  0.0000  0.0000  -0.39
Cl  0.9042  0.9042  0.9042  -0.04
Cl  0.0958  0.0958  0.0958  -0.04


[4]
A geometry-optimized Ba2YZr structure. Source: Alexandria, functional GGA-PBE.

Summary:
Formation energy in eV per atom: 0.587
Space group: Cmmm

Lattice parameters (Å, degrees): 6.6930 6.6930 3.6808 90.00 90.00 113.30
Positions (direct):
Ba  0.0000  0.0000  0.0000
Ba  0.5000  0.5000  0.0000
Y  0.5000  0.0000  0.5000
Zr  0.0000  0.5000  0.5000


[5]
A geometry-optimized Tl2CuF5 structure. Source: Alexandria, functional GGA-PBE.

Summary:
Uncorrected formation energy in eV/f.u.: -13.1
Space group: Pnma

Lattice parameters (Å, degrees): 5.7978 7.6655 11.6552 90.00 90.00 90.00
Each line ends with the local moment (μB).
Positions (direct):
Tl  0.7500  0.4805  0.2660  0.05
Tl  0.2500  0.5195  0.7340  0.05
Tl  0.2500  0.0195  0.7660  0.05
Tl  0.7500  0.9805  0.2340  0.05
Tl  0.7500  0.8375  0.5798  0.01
Tl  0.2500  0.1625  0.4202  0.01
Tl  0.2500  0.6625  0.0798  0.01
Tl  0.7500  0.3375  0.9202  0.01
Cu  0.7500  0.8420  0.9358  0.87
Cu  0.2500  0.1580  0.0642  0.87
Cu  0.2500  0.6580  0.4358  0.87
Cu  0.7500  0.3420  0.5642  0.87
F  0.7500  0.7162  0.0817  0.09
F  0.2500  0.2838  0.9183  0.09
F  0.2500  0.7838  0.5817  0.09
F  0.7500  0.2162  0.4183  0.09
F  0.5062  0.6926  0.8743  0.12
F  0.4938  0.3074  0.1257  0.12
F  0.4938  0.8074  0.3743  0.12
F  0.0062  0.3074  0.1257  0.12
F  0.5062  0.1926  0.6257  0.12
F  0.9938  0.6926  0.8743  0.12
F  0.9938  0.1926  0.6257  0.12
F  0.0062  0.8074  0.3743  0.12
F  0.5000  0.0000  0.0000  0.12
F  0.5000  0.5000  0.5000  0.12
F  0.0000  0.0000  0.0000  0.12
F  0.0000  0.5000  0.5000  0.12
F  0.7500  0.9814  0.8021  0.14
F  0.2500  0.0186  0.1979  0.14
F  0.2500  0.5186  0.3021  0.14
F  0.7500  0.4814  0.6979  0.14


[6]
A geometry-optimized Tm3Ag2Pb structure. Source: Alexandria, functional GGA-PBE.

Summary:
Formation energy in eV per atom: -0.341
Space group: P4/mmm

Lattice parameters (Å, degrees): 3.5103 3.5103 11.9386 90.00 90.00 90.00
Positions (direct):
Tm  0.0000  0.0000  0.0000
Tm  0.0000  0.0000  0.6884
Tm  0.0000  0.0000  0.3116
Ag  0.5000  0.5000  0.8472
Ag  0.5000  0.5000  0.1528
Pb  0.5000  0.5000  0.5000


[7]
A geometry-optimized TiPOsCl2 structure. Source: Alexandria, functional GGA-PBE.

Summary:
Uncorrected formation energy in eV/f.u.: 3.3
Space group: P4/mmm

Lattice parameters (Å, degrees): 4.8669 4.8669 4.5224 90.00 90.00 90.00
Each line ends with the local moment (μB).
Positions (direct):
P  0.0000  0.0000  0.5000  -0.03
Cl  0.0000  0.5000  0.0000  0.00
Cl  0.5000  0.0000  0.0000  0.00
Os  0.0000  0.0000  0.0000  0.20
Ti  0.5000  0.5000  0.5000  0.04


[8]
A geometry-optimized CaPuAu2 structure. Source: Alexandria, functional GGA-PBE.

Summary:
Formation energy in eV per atom: -0.424
Space group: R3m

Lattice parameters (Å, degrees): 4.1542 4.1542 7.8513 74.66 74.66 60.00
Each line ends with the local moment (μB).
Positions (direct):
Ca  0.6690  0.6690  0.9931  0.01
Pu  0.4981  0.4981  0.5058  5.40
Au  0.0846  0.0846  0.7461  0.02
Au  0.2483  0.2483  0.2550  0.01


[9]
A geometry-optimized Zn2CrSi structure. Source: Alexandria, functional GGA-PBE.

Summary:
Uncorrected formation energy in eV/f.u.: 1.8
Space group: I-42d

Lattice parameters (Å, degrees): 6.9933 6.9933 5.4986 50.51 50.51 90.00
Positions (direct):
Cr  0.0000  0.0000  0.0000
Cr  0.7500  0.2500  0.5000
Zn  0.6134  0.1250  0.2500
Zn  0.1366  0.6250  0.2500
Zn  0.3750  0.3866  0.7500
Zn  0.8750  0.8634  0.7500
Si  0.5000  0.5000  0.0000
Si  0.2500  0.7500  0.5000


[10]
A geometry-optimized BaTc2Br structure. Source: Alexandria, functional GGA-PBE.

Summary:
Uncorrected formation energy in eV/f.u.: 3.4
Space group: Pmmm

Lattice parameters (Å, degrees): 3.4443 4.7197 6.3419 90.00 90.00 90.00
Each line ends with the local moment (μB).
Positions (direct):
Ba  0.5000  0.0000  0.5000  0.02
Br  0.0000  0.5000  0.5000  0.04
Tc  0.0000  0.0000  0.0000  -1.61
Tc  0.5000  0.5000  0.0000  2.19


[11]
A geometry-optimized TiCrAgS4 structure. Source: Alexandria, functional GGA-PBE.

Summary:
Uncorrected formation energy in eV/f.u.: -4.5
Space group: P1

Lattice parameters (Å, degrees): 6.4679 7.6382 12.9930 99.00 95.25 90.24
Each line ends with the local moment (μB).
Positions (direct):
Ti  0.8521  0.2943  0.7155  0.33
Ti  0.1480  0.7112  0.2895  0.22
Ti  0.2250  0.9084  0.0036  0.22
Ti  0.6281  0.4403  0.2796  0.28
Cr  0.7580  0.1113  0.9976  2.84
Cr  0.3673  0.5510  0.7194  2.32
Cr  0.6067  0.9463  0.2776  3.04
Cr  0.3597  0.0420  0.7154  2.81
Ag  0.8988  0.8196  0.7016  -0.01
Ag  0.1248  0.1714  0.2971  0.00
Ag  0.7483  0.6268  0.9956  -0.04
Ag  0.2547  0.3768  0.9993  -0.04
S  0.8794  0.3244  0.8909  -0.05
S  0.1426  0.6845  0.1144  -0.02
S  0.9122  0.8657  0.9002  -0.06
S  0.0853  0.1495  0.0999  -0.06
S  0.7660  0.2143  0.3536  -0.06
S  0.2462  0.7702  0.6404  -0.14
S  0.8026  0.7160  0.3360  -0.05
S  0.1925  0.2864  0.6624  -0.08
S  0.6628  0.0473  0.6401  -0.06
S  0.3310  0.9488  0.3798  -0.04
S  0.6823  0.5314  0.6598  -0.05
S  0.3093  0.4733  0.3482  -0.01
S  0.5949  0.9245  0.0996  -0.13
S  0.4230  0.0715  0.8921  -0.12
S  0.6267  0.3773  0.1037  -0.05
S  0.3717  0.6153  0.8871  -0.12


[12]
A geometry-optimized Na2IrO2F4 structure. Source: Alexandria, functional GGA-PBE.

Summary:
Uncorrected formation energy in eV/f.u.: -15.3
Space group: C2/m

Lattice parameters (Å, degrees): 4.9014 5.6364 5.6364 61.79 76.36 76.36
Each line ends with the local moment (μB).
Positions (direct):
Na  0.2799  0.7034  0.7034  0.00
Na  0.7201  0.2966  0.2966  0.00
Ir  0.5000  0.0000  0.0000  0.43
O  0.1847  0.1497  0.1497  0.22
O  0.8153  0.8503  0.8503  0.22
F  0.3410  0.6562  0.1490  0.00
F  0.6590  0.8510  0.3438  0.00
F  0.6590  0.3438  0.8510  0.00
F  0.3410  0.1490  0.6562  0.00


Number 1: raw total energy -4.56 eV per atom. Number 2: raw total energy -4.06 eV per atom. Number 3: raw total energy -3.12 eV per atom. Number 4: raw total energy -4.13 eV per atom. Number 5: raw total energy -3.91 eV per atom. Number 6: raw total energy -4.15 eV per atom. Number 7: raw total energy -4.98 eV per atom. Number 8: raw total energy -6.15 eV per atom. Number 9: raw total energy -3.94 eV per atom. Number 10: raw total energy -5.24 eV per atom. Number 11: raw total energy -5.91 eV per atom. Number 12: raw total energy -4.91 eV per atom.